1.
A plane-wave DFT calculation with SCAN was carried out for a crystal of Na3GdTi2Nb2O12 relaxed with PBEsol.

Output
- Raw formation energy: -2965 meV per atom

a = 5.4100 Å, b = 5.5228 Å, c = 7.7234 Å
α = 89.99°, β = 89.95°, γ = 89.48°
With the nearest neighbours (Å) after each atom.
Space group P1 (No. 1)
Unique sites:
Na: 0.0000 0.0000 0.0000 x1  4 O 2.32-2.55
Na: 0.0116 0.9385 0.5017 x1  8 O 2.39-2.67
Na: 0.4966 0.4799 0.0031 x1  3 O 2.35-2.36
Gd: 0.4932 0.4171 0.5019 x1  8 O 2.33-2.49
Ti: 0.5073 0.9567 0.7483 x1  4 O 1.85-1.97
Ti: 0.9933 0.4613 0.2573 x1  6 O 1.87-2.10
Nb: 0.5067 0.9569 0.2412 x1  5 O 1.89-2.10
Nb: 0.9962 0.4701 0.7615 x1  6 O 1.92-2.11
O: 0.0634 0.4573 0.0056 x1  1 Nb 1.92, 1 Ti 1.98
O: 0.2180 0.2070 0.3017 x1  1 Ti 1.88
O: 0.2216 0.2045 0.7005 x1  1 Nb 1.96, 1 Ti 2.09
O: 0.3000 0.6832 0.2981 x1  1 Nb 1.94, 1 Ti 2.10
O: 0.3034 0.6880 0.7050 x1  1 Ti 1.89, 1 Nb 2.11
O: 0.4278 0.9752 0.9971 x1  1 Nb 1.94, 1 Ti 1.97
O: 0.5740 0.0007 0.5035 x1  1 Ti 1.94, 1 Nb 2.07
O: 0.6988 0.2805 0.7724 x1  1 Nb 1.93, 1 Ti 2.08
O: 0.7036 0.2823 0.2318 x1  1 Ti 1.87
O: 0.7953 0.7815 0.7870 x1  1 Ti 1.85, 1 Nb 2.04
O: 0.8016 0.7741 0.2127 x1  1 Nb 1.89, 1 Ti 2.04
O: 0.9125 0.5076 0.4987 x1  1 Ti 1.93, 1 Nb 2.09

***

2.
A plane-wave DFT calculation with SCAN was carried out for a crystal of NaGdO2 relaxed with PBEsol.

Output
- Raw formation energy: -2965 meV per atom

a = 4.6303 Å, b = 4.6303 Å, c = 10.4436 Å
α = 90.00°, β = 90.00°, γ = 90.00°
With the nearest neighbours (Å) after each atom.
Space group I4_1/amd (No. 141, origin choice 2)
Unique sites:
Na: 0.0000 0.2500 0.3750 x4  4 O 2.33
Gd: 0.0000 0.2500 0.8750 x4  6 O 2.31-2.33
O: 0.0000 0.2500 0.0961 x8  3 Gd 2.31-2.33, 2 Na 2.33

***

3.
A plane-wave DFT calculation with SCAN was carried out for a crystal of Na3GdP2O8 relaxed with PBEsol.

Output
- Raw formation energy: -2811 meV per atom

a = 5.3099 Å, b = 13.8696 Å, c = 14.0469 Å
α = 91.04°, β = 100.76°, γ = 90.02°
With the nearest neighbours (Å) after each atom.
Space group P-1 (No. 2)
Unique sites:
Na: 0.0000 0.0000 0.0000 x1  6 O 2.35-2.53
Na: 0.0000 0.5000 0.0000 x1  6 O 2.35-2.53
Na: 0.1121 0.1375 0.2375 x2  5 O 2.32-2.54
Na: 0.1220 0.6373 0.2373 x2  5 O 2.32-2.56
Na: 0.2188 0.8230 0.4442 x2  4 O 2.33-2.60
Na: 0.2246 0.3229 0.4447 x2  4 O 2.33-2.60
Na: 0.3479 0.2366 0.6962 x2  3 O 2.25-2.42
Na: 0.3506 0.7366 0.6959 x2  3 O 2.25-2.43
Na: 0.4035 0.0799 0.8906 x2  6 O 2.36-2.61
Na: 0.4889 0.5801 0.8908 x2  6 O 2.37-2.61
Gd: 0.1012 0.7501 0.0000 x2  6 O 2.34-2.37
Gd: 0.3033 0.9867 0.6442 x2  6 O 2.27-2.39
Gd: 0.3463 0.4869 0.6443 x2  6 O 2.27-2.39
P: 0.0938 0.3900 0.2240 x2  4 O 1.53-1.56
P: 0.1273 0.8898 0.2241 x2  4 O 1.53-1.56
P: 0.2233 0.6028 0.4569 x2  4 O 1.54-1.55
P: 0.2327 0.1030 0.4572 x2  4 O 1.54-1.55
P: 0.4052 0.3483 0.8848 x2  4 O 1.55-1.56
P: 0.4812 0.8483 0.8847 x2  4 O 1.55-1.56
O: 0.0228 0.8547 0.5980 x2  1 P 1.55
O: 0.0385 0.0249 0.7486 x2  1 P 1.56
O: 0.0457 0.3635 0.5923 x2  1 P 1.54
O: 0.0505 0.8752 0.1125 x2  1 P 1.55
O: 0.0606 0.3748 0.1124 x2  1 P 1.55
O: 0.0806 0.7985 0.2783 x2  1 P 1.53
O: 0.1447 0.3502 0.9206 x2  1 P 1.56
O: 0.1670 0.5808 0.7486 x2  1 P 1.56
O: 0.1948 0.2990 0.2786 x2  1 P 1.53
O: 0.2196 0.9916 0.4570 x2  1 P 1.55
O: 0.2229 0.1498 0.0797 x2  1 P 1.56
O: 0.2418 0.4915 0.4565 x2  1 P 1.55
O: 0.2775 0.1380 0.5646 x2  1 P 1.55
O: 0.2825 0.6377 0.5644 x2  1 P 1.55
O: 0.2862 0.4754 0.2508 x2  1 P 1.56
O: 0.3421 0.9102 0.9516 x2  1 P 1.55
O: 0.3555 0.3833 0.7788 x2  1 P 1.55
O: 0.3709 0.7446 0.8855 x2  1 P 1.55
O: 0.3892 0.5900 0.0483 x2  1 P 1.55
O: 0.4153 0.9190 0.2517 x2  1 P 1.56
O: 0.4233 0.6464 0.4020 x2  1 P 1.55
O: 0.4260 0.8833 0.7787 x2  1 P 1.55
O: 0.4523 0.1382 0.4083 x2  1 P 1.54
O: 0.4841 0.7555 0.1145 x2  1 P 1.55

***

4.
A plane-wave DFT calculation with SCAN was carried out for a crystal of NaGdTiO4 relaxed with PBEsol.

Output
- Raw formation energy: -3226 meV per atom

a = 12.5063 Å, b = 5.3578 Å, c = 5.2419 Å
α = 90.00°, β = 90.00°, γ = 90.00°
With the nearest neighbours (Å) after each atom.
Space group Pbcm (No. 57)
Unique sites:
Na: 0.0860 0.0012 0.2500 x4  2 O 2.29-2.47
Gd: 0.3934 0.0216 0.2500 x4  6 O 2.21-2.47
Ti: 0.2353 0.5077 0.2500 x4  5 O 1.75-1.95
O: 0.0961 0.5411 0.2500 x4  1 Ti 1.75
O: 0.2579 0.2500 0.0000 x4  2 Ti 1.92
O: 0.2847 0.7500 0.0000 x4  2 Ti 1.95
O: 0.4336 0.0604 0.7500 x4  2 Gd 2.21-2.30

***

5.
A plane-wave DFT calculation with SCAN was carried out for a crystal of Na3GdV2O8 relaxed with PBEsol.

Output
- Raw formation energy: -2661 meV per atom

a = 5.8656 Å, b = 5.8656 Å, c = 6.9413 Å
α = 90.00°, β = 90.00°, γ = 120.00°
With the nearest neighbours (Å) after each atom.
Space group P-3m1 (No. 164)
Unique sites:
Na: 0.0000 0.0000 0.0000 x1  6 O 2.75
Na: 0.3333 0.6667 0.6600 x2  1 O 2.17
Gd: 0.0000 0.0000 0.5000 x1  6 O 2.24
V: 0.3333 0.6667 0.2099 x2  4 O 1.65-1.74
O: 0.1747 0.3494 0.3026 x6  1 V 1.74
O: 0.3333 0.6667 0.9723 x2  1 V 1.65

***

6.
A plane-wave DFT calculation with SCAN was carried out for a crystal of NaGdTl2 relaxed with PBEsol.

a = 7.4274 Å, b = 7.4274 Å, c = 7.4274 Å
α = 90.00°, β = 90.00°, γ = 90.00°
With the nearest neighbours (Å) after each atom.
Space group Fm-3m (No. 225)
Unique sites:
Na: 0.0000 0.0000 0.0000 x4  8 Tl 3.22
Gd: 0.0000 0.0000 0.5000 x4  8 Tl 3.22
Tl: 0.2500 0.2500 0.2500 x8  4 Gd 3.22, 4 Na 3.22

***

7.
A plane-wave DFT calculation with SCAN was carried out for a crystal of Gd3NbO7 relaxed with PBEsol.

Output
- Offset from the most stable computed form: 0.0000 eV per atom
- Raw formation energy: -3506 meV per atom

a = 6.3856 Å, b = 6.4855 Å, c = 7.6190 Å
α = 73.09°, β = 89.79°, γ = 82.58°
With the nearest neighbours (Å) after each atom.
Space group P-1 (No. 2)
Unique sites:
Gd: 0.0467 0.0070 0.2495 x2  7 O 2.21-2.42
Gd: 0.2382 0.5369 0.6164 x2  7 O 2.31-2.46
Gd: 0.2386 0.5404 0.1101 x2  5 O 2.23-2.41
Nb: 0.5000 0.0000 0.0000 x1  6 O 1.98-2.05
Nb: 0.5000 0.0000 0.5000 x1  6 O 1.99-2.01
O: 0.0431 0.6368 0.8420 x2  4 Gd 2.21-2.31
O: 0.0576 0.6496 0.3350 x2  4 Gd 2.21-2.34
O: 0.2079 0.9273 0.5505 x2  1 Nb 1.99
O: 0.2090 0.9284 0.9844 x2  1 Nb 1.98
O: 0.4135 0.0433 0.2383 x2  2 Nb 1.98-2.00
O: 0.4210 0.3231 0.4462 x2  1 Nb 2.01
O: 0.4240 0.3306 0.8945 x2  1 Nb 2.05

***

8.
A plane-wave DFT calculation with SCAN was carried out for a crystal of Gd3NbO7 relaxed with PBEsol.

Output
- Offset from the most stable computed form: 0.0027 eV per atom
- Raw formation energy: -3503 meV per atom

a = 7.4350 Å, b = 10.5755 Å, c = 7.5491 Å
α = 90.00°, β = 90.00°, γ = 90.00°
With the nearest neighbours (Å) after each atom.
Space group Cmcm (No. 63)
Unique sites:
Gd: 0.0000 0.0000 0.0000 x4  4 O 2.33-2.37
Gd: 0.2323 0.2681 0.2500 x8  7 O 2.22-2.45
Nb: 0.0000 0.5000 0.0000 x4  6 O 1.99-2.02
O: 0.0000 0.1290 0.7500 x4  4 Gd 2.27-2.33
O: 0.0000 0.1359 0.2500 x4  4 Gd 2.22-2.37
O: 0.0000 0.4326 0.2500 x4  2 Nb 2.02
O: 0.1985 0.3758 0.5321 x16  1 Nb 1.99

***

no.,N(E_F) (states/eV/cell),total DFT energy (no corrections) (eV/atom)
1,0.0,-15.1929
2,0.0,-21.8387
3,0.0,-12.9613
4,0.0,-18.0806
5,0.0,-13.8248
6,5.1,-52.3215
7,0.0,-26.5240
8,0.0,-26.5213